# 1
A plane-wave DFT calculation with PBE was carried out for Ba5PbSe6 after structural relaxation.

a = 8.0927 Å, b = 8.0975 Å, c = 8.0969 Å
α = 60.00°, β = 80.40°, γ = 70.52°
Closest atoms and distances in Å follow each position.
Fractional coordinates of all 12 atoms:
Ba: 0.5000 0.1660 0.6679  6 Se 3.29-3.38
Ba: 0.0000 0.3331 0.3338  6 Se 3.31
Ba: 0.5000 0.5000 0.0000  6 Se 3.30-3.38
Ba: 0.0000 0.6669 0.6662  6 Se 3.31
Ba: 0.5000 0.8340 0.3321  6 Se 3.29-3.38
Pb: 0.0000 0.0000 0.0000  6 Se 3.23-3.24
Se: 0.7543 0.0820 0.3256  1 Pb 3.24, 5 Ba 3.30-3.38
Se: 0.2457 0.5924 0.3256  1 Pb 3.24, 5 Ba 3.30-3.38
Se: 0.2453 0.2437 0.0000  1 Pb 3.23, 5 Ba 3.29-3.38
Se: 0.7547 0.7563 0.0000  1 Pb 3.23, 5 Ba 3.29-3.38
Se: 0.7543 0.4076 0.6744  1 Pb 3.24, 5 Ba 3.30-3.38
Se: 0.2457 0.9180 0.6744  1 Pb 3.24, 5 Ba 3.30-3.38



# 2
A plane-wave DFT calculation with PBE was carried out for BaPb3Se4 after structural relaxation.

a = 4.4741 Å, b = 7.7561 Å, c = 7.7561 Å
α = 70.61°, β = 90.01°, γ = 90.01°
Closest atoms and distances in Å follow each position.
Fractional coordinates of all 8 atoms:
Pb: 0.5000 0.0001 0.5000  6 Se 3.10
Pb: 0.9999 0.0002 0.0000  6 Se 3.17
Pb: 0.0001 0.5001 0.4999  6 Se 3.17
Ba: 0.5000 0.5002 0.9999  6 Se 3.23
Se: 0.0000 0.7602 0.7400  4 Pb 3.10-3.17, 2 Ba 3.23
Se: 0.4997 0.7551 0.2552  5 Pb 3.10-3.17, 1 Ba 3.23
Se: 0.0000 0.2402 0.2599  4 Pb 3.10-3.17, 2 Ba 3.23
Se: 0.5001 0.2449 0.7450  5 Pb 3.10-3.17, 1 Ba 3.23



# 3
A plane-wave DFT calculation with PBE was carried out for BaPbSe2 after structural relaxation.

a = 6.6179 Å, b = 6.6179 Å, c = 4.8359 Å
α = 89.54°, β = 89.54°, γ = 38.31°
Closest atoms and distances in Å follow each position.
Fractional coordinates of all 4 atoms:
Pb: 0.2382 0.2382 0.0922  3 Se 2.75-3.03
Ba: 0.4869 0.4869 0.6249  7 Se 3.27-3.61
Se: 0.0183 0.0183 0.1241  1 Pb 2.75
Se: 0.7566 0.7566 0.6588  2 Pb 3.03, 1 Ba 3.38



# 4
A plane-wave DFT calculation with PBE was carried out for BaPbSe2 after structural relaxation.

a = 8.6851 Å, b = 5.4693 Å, c = 3.9383 Å
α = 90.06°, β = 62.95°, γ = 129.07°
Closest atoms and distances in Å follow each position.
Fractional coordinates of all 4 atoms:
Ba: 0.0000 0.5000 0.5000  8 Se 3.37
Pb: 0.5000 0.5000 0.0000  8 Se 3.37
Se: 0.0000 0.0000 0.0000  4 Pb 3.37, 4 Ba 3.37
Se: 0.5000 0.0000 0.5000  4 Ba 3.37, 4 Pb 3.37



# 5
A plane-wave DFT calculation with PBE was carried out for Ba2PbSe after structural relaxation.

Properties
The value obtained for the energy above the most stable polymorph in this dataset is 0.280 eV/atom.

a = 6.2739 Å, b = 6.2739 Å, c = 6.2739 Å
α = 132.53°, β = 118.58°, γ = 81.12°
Closest atoms and distances in Å follow each position.
Fractional coordinates of all 4 atoms:
Ba: 0.0295 0.0295 0.0000  2 Se 3.29, 2 Pb 3.67
Ba: 0.4705 0.4705 0.0000  2 Se 3.29, 2 Pb 3.67
Pb: 0.7500 0.2500 0.5000  8 Ba 3.67-3.83, 4 Se 4.08
Se: 0.2500 0.7500 0.5000  4 Ba 3.29



# 6
A plane-wave DFT calculation with PBE was carried out for BaPb2Se after structural relaxation.

a = 5.2977 Å, b = 5.2977 Å, c = 6.2221 Å
α = 90.00°, β = 90.00°, γ = 120.00°
Closest atoms and distances in Å follow each position.
Fractional coordinates of all 4 atoms:
Ba: 0.0000 0.0000 0.5723  3 Se 3.20
Pb: 0.3333 0.6667 0.9310  2 Se 3.05-3.17, 3 Pb 3.21
Pb: 0.6667 0.3333 0.0859  3 Pb 3.21
Se: 0.3333 0.6667 0.4218  2 Pb 3.05-3.17, 3 Ba 3.20



# 7
A plane-wave DFT calculation with PBE was carried out for BaPb2Se after structural relaxation.

a = 5.0406 Å, b = 5.0406 Å, c = 7.6419 Å
α = 90.00°, β = 90.00°, γ = 120.00°
Closest atoms and distances in Å follow each position.
Fractional coordinates of all 4 atoms:
Ba: 0.6667 0.3333 0.5893  3 Se 3.14
Pb: 0.3333 0.6667 0.0639  1 Se 2.83, 3 Pb 3.10
Pb: 0.0000 0.0000 0.9234  3 Pb 3.10
Se: 0.3333 0.6667 0.4344  1 Pb 2.83, 3 Ba 3.14



# 8
A plane-wave DFT calculation with PBE was carried out for BaPb2Se after structural relaxation.

a = 6.8402 Å, b = 6.8402 Å, c = 6.8527 Å
α = 46.70°, β = 46.70°, γ = 46.64°
Closest atoms and distances in Å follow each position.
Fractional coordinates of all 4 atoms:
Ba: 0.2075 0.2075 0.2082  3 Se 3.16
Pb: 0.0048 0.0048 0.0046  3 Pb 3.26
Pb: 0.7223 0.7223 0.7198  1 Se 2.84
Se: 0.5654 0.5654 0.5674  1 Pb 2.84, 3 Ba 3.16



Computed values of energy relative to the elements, uncorrected (unit: eV per formula unit) for the preceding records, in sequence: -21.53; -7.38; -5.05; -4.44; -3.49; -2.83; -2.71; -2.55.
Computed values of raw total energy (unit: eV/atom) for the preceding records, in sequence: -4.647; -4.296; -4.413; -4.260; -3.632; -3.913; -3.885; -3.843.